1.
# Ba2CdAuBr | the Alexandria database | PBE | optimized geometry
data_Ba2CdAuBr
_space_group_name_H-M_alt 'P 4/m m m'
_space_group_IT_number 123
_space_group_name_Hall '-P 4 2'
_cell_length_a 6.266
_cell_length_b 6.266
_cell_length_c 5.238
_cell_angle_alpha 90.00
_cell_angle_beta 90.00
_cell_angle_gamma 90.00
loop_
_atom_site_label
_atom_site_fract_x
_atom_site_fract_y
_atom_site_fract_z
_atom_site_occupancy
Ba1 0.000 0.500 0.000 1
Cd1 0.000 0.000 0.500 1
Au1 0.500 0.500 0.500 1
Br1 0.500 0.500 0.000 1
# * M_tot: 0.00 μB per cell
# * calculated volume: 41.13 Å³ per atom
# * Fermi-level density of states: 5.3 states/eV per cell
# * mass density: 5.4 g/cm³
# * total DFT energy (no corrections): -11.57 eV/cell

=====

2.
# PmSc3As4 | the Alexandria database | PBE | optimized geometry
data_PmSc3As4
_space_group_name_H-M_alt 'C m m m'
_space_group_IT_number 65
_space_group_name_Hall '-C 2 2'
_cell_length_a 7.946
_cell_length_b 11.248
_cell_length_c 3.986
_cell_angle_alpha 90.00
_cell_angle_beta 90.00
_cell_angle_gamma 90.00
loop_
_atom_site_label
_atom_site_fract_x
_atom_site_fract_y
_atom_site_fract_z
_atom_site_occupancy
Pm1 0.000 0.000 0.000 1
Sc1 0.000 0.500 0.000 1
Sc2 0.250 0.250 0.500 1
As1 0.000 0.258 0.000 1
As2 0.234 0.500 0.500 1
# * M_tot: 0.00 μB per cell
# * energy of formation from the pure elements: -1378 meV per atom
# * calculated volume: 22.27 Å³ per atom
# * Fermi-level density of states: 1.9 states/eV per cell
# * mass density: 5.4 g/cm³

=====

3.
# LaTb2Si2 | the Alexandria database | PBE | optimized geometry
data_LaTb2Si2
_space_group_name_H-M_alt 'P 4/m b m'
_space_group_IT_number 127
_space_group_name_Hall '-P 4 2ab'
_cell_length_a 7.812
_cell_length_b 7.812
_cell_length_c 4.077
_cell_angle_alpha 90.00
_cell_angle_beta 90.00
_cell_angle_gamma 90.00
loop_
_atom_site_label
_atom_site_fract_x
_atom_site_fract_y
_atom_site_fract_z
_atom_site_occupancy
La1 0.000 0.000 0.000 1
Tb1 0.176 0.324 0.500 1
Si1 0.111 0.611 0.000 1
# * M_tot: 0.00 μB per cell
# * calculated volume: 24.88 Å³ per atom
# * Fermi-level density of states: 11.0 states/eV per cell
# * mass density: 6.8 g/cm³
# * total DFT energy (no corrections): -56.13 eV/cell

=====

4.
# NdThP2 | the Alexandria database | PBE | optimized geometry
data_NdThP2
_space_group_name_H-M_alt 'P 63/m m c'
_space_group_IT_number 194
_space_group_name_Hall '-P 6c 2c'
_cell_length_a 4.1346
_cell_length_b 4.1346
_cell_length_c 13.6959
_cell_angle_alpha 90.00
_cell_angle_beta 90.00
_cell_angle_gamma 120.00
loop_
_atom_site_label
_atom_site_fract_x
_atom_site_fract_y
_atom_site_fract_z
_atom_site_occupancy
Nd1 0.3333 0.6667 0.2500 1
Th1 0.0000 0.0000 0.0000 1
P1 0.3333 0.6667 0.6211 1
# * M_tot: 0.00 μB per cell
# * energy of formation from the pure elements: -1531 meV per atom
# * calculated volume: 25.35 Å³ per atom
# * Fermi-level density of states: 4.4 states/eV per cell
# * mass density: 7.2 g/cm³

=====

5.
# Dy2TmHf | the Alexandria database | PBE | optimized geometry
data_Dy2TmHf
_space_group_name_H-M_alt 'P 4/m m m'
_space_group_IT_number 123
_space_group_name_Hall '-P 4 2'
_cell_length_a 4.828
_cell_length_b 4.828
_cell_length_c 4.805
_cell_angle_alpha 90.00
_cell_angle_beta 90.00
_cell_angle_gamma 90.00
loop_
_atom_site_label
_atom_site_fract_x
_atom_site_fract_y
_atom_site_fract_z
_atom_site_occupancy
Dy1 0.000 0.500 0.000 1
Tm1 0.000 0.000 0.500 1
Hf1 0.500 0.500 0.500 1
# * M_tot: 0.00 μB per cell
# * energy of formation from the pure elements: 135 meV per atom
# * calculated volume: 28.00 Å³ per atom
# * Fermi-level density of states: 4.8 states/eV per cell
# * mass density: 10.0 g/cm³

=====

6.
# Mg4Ta | the Alexandria database | PBE | optimized geometry
data_Mg4Ta
_space_group_name_H-M_alt 'I m -3 m'
_space_group_IT_number 229
_space_group_name_Hall '-I 4 2 3'
_cell_length_a 6.679
_cell_length_b 6.679
_cell_length_c 6.679
_cell_angle_alpha 90.00
_cell_angle_beta 90.00
_cell_angle_gamma 90.00
loop_
_atom_site_label
_atom_site_fract_x
_atom_site_fract_y
_atom_site_fract_z
_atom_site_occupancy
Mg1 0.250 0.250 0.250 1
Ta1 0.000 0.000 0.000 1
# * M_tot: 7.80 μB per cell
# * energy of formation from the pure elements: 853 meV per atom
# * calculated volume: 29.79 Å³ per atom
# * Fermi-level density of states: 8.1 states/eV per cell
# * mass density: 3.1 g/cm³

=====

7.
# Rb2AgPO4 | the Alexandria database | PBE | optimized geometry
data_Rb2AgPO4
_space_group_name_H-M_alt 'F d d d'
_space_group_IT_number 70
_cell_length_a 5.685
_cell_length_b 11.502
_cell_length_c 20.972
_cell_angle_alpha 90.00
_cell_angle_beta 90.00
_cell_angle_gamma 90.00
loop_
_space_group_symop_operation_xyz
'x,y,z'
'-x,-y,-z'
'-x+1/4,-y+1/4,z'
'x+1/4,y+1/4,-z'
'x,-y+1/4,-z+1/4'
'-x,y+1/4,z+1/4'
'-x+1/4,y,-z+1/4'
'x+1/4,-y,z+1/4'
'x,y+1/2,z+1/2'
'-x,-y+1/2,-z+1/2'
'-x+1/4,-y+3/4,z+1/2'
'x+1/4,y+3/4,-z+1/2'
'x,-y+3/4,-z+3/4'
'-x,y+3/4,z+3/4'
'-x+1/4,y+1/2,-z+3/4'
'x+1/4,-y+1/2,z+3/4'
'x+1/2,y,z+1/2'
'-x+1/2,-y,-z+1/2'
'-x+3/4,-y+1/4,z+1/2'
'x+3/4,y+1/4,-z+1/2'
'x+1/2,-y+1/4,-z+3/4'
'-x+1/2,y+1/4,z+3/4'
'-x+3/4,y,-z+3/4'
'x+3/4,-y,z+3/4'
'x+1/2,y+1/2,z'
'-x+1/2,-y+1/2,-z'
'-x+3/4,-y+3/4,z'
'x+3/4,y+3/4,-z'
'x+1/2,-y+3/4,-z+1/4'
'-x+1/2,y+3/4,z+1/4'
'-x+3/4,y+1/2,-z+1/4'
'x+3/4,-y+1/2,z+1/4'
loop_
_atom_site_label
_atom_site_fract_x
_atom_site_fract_y
_atom_site_fract_z
_atom_site_occupancy
Rb1 0.125 0.125 0.304 1
Ag1 0.125 0.125 0.125 1
P1 0.125 0.125 0.625 1
O1 0.036 0.294 0.833 1
# * M_tot: 0.00 μB per cell
# * calculated volume: 21.43 Å³ per atom
# * Fermi-level density of states: 0.0 states/eV per cell
# * mass density: 3.6 g/cm³
# * total DFT energy (no corrections): -347.67 eV/cell

=====

8.
# Li5Mg4Cd2 | the Alexandria database | PBE | optimized geometry
data_Li5Mg4Cd2
_space_group_name_H-M_alt 'P 1 2/m 1'
_space_group_IT_number 10
_cell_length_a 7.597
_cell_length_b 3.060
_cell_length_c 9.910
_cell_angle_alpha 90.00
_cell_angle_beta 92.95
_cell_angle_gamma 90.00
loop_
_space_group_symop_operation_xyz
'x,y,z'
'-x,-y,-z'
'-x,y,-z'
'x,-y,z'
loop_
_atom_site_label
_atom_site_fract_x
_atom_site_fract_y
_atom_site_fract_z
_atom_site_occupancy
Li1 0.000 0.000 0.000 1
Li2 0.070 0.000 0.294 1
Li3 0.296 0.000 0.834 1
Mg1 0.210 0.500 0.559 1
Mg2 0.338 0.500 0.102 1
Cd1 0.438 0.000 0.355 1
# * M_tot: 0.00 μB per cell
# * energy of formation from the pure elements: -81 meV per atom
# * calculated volume: 20.91 Å³ per atom
# * Fermi-level density of states: 3.6 states/eV per cell
# * mass density: 2.6 g/cm³

=====

9.
# Ho4UO10 | the Alexandria database | PBE | optimized geometry
data_Ho4UO10
_space_group_name_H-M_alt 'I 4/m'
_space_group_IT_number 87
_space_group_name_Hall '-I 4'
_cell_length_a 8.563
_cell_length_b 8.563
_cell_length_c 5.243
_cell_angle_alpha 90.00
_cell_angle_beta 90.00
_cell_angle_gamma 90.00
loop_
_atom_site_label
_atom_site_fract_x
_atom_site_fract_y
_atom_site_fract_z
_atom_site_occupancy
Ho1 0.099 0.300 0.000 1
U1 0.000 0.000 0.500 1
O1 0.000 0.500 0.250 1
O2 0.097 0.810 0.259 1
# * M_tot: 2.94 μB per cell
# * calculated volume: 12.81 Å³ per atom
# * Fermi-level density of states: 22.5 states/eV per cell
# * mass density: 9.1 g/cm³
# * total DFT energy (no corrections): -254.00 eV/cell

=====

10.
# CaPAu3 | the Alexandria database | PBE | optimized geometry
data_CaPAu3
_space_group_name_H-M_alt 'P m -3 m'
_space_group_IT_number 221
_space_group_name_Hall '-P 4 2 3'
_cell_length_a 4.822
_cell_length_b 4.822
_cell_length_c 4.822
_cell_angle_alpha 90.00
_cell_angle_beta 90.00
_cell_angle_gamma 90.00
loop_
_atom_site_label
_atom_site_fract_x
_atom_site_fract_y
_atom_site_fract_z
_atom_site_occupancy
Ca1 0.000 0.000 0.000 1
P1 0.500 0.500 0.500 1
Au1 0.000 0.500 0.500 1
# * M_tot: 0.00 μB per cell
# * energy of formation from the pure elements: -265 meV per atom
# * calculated volume: 22.42 Å³ per atom
# * Fermi-level density of states: 2.6 states/eV per cell
# * mass density: 9.8 g/cm³

=====

11.
# Sr2ZnB | the Alexandria database | PBE | optimized geometry
data_Sr2ZnB
_space_group_name_H-M_alt 'F m -3 m'
_space_group_IT_number 225
_space_group_name_Hall '-F 4 2 3'
_cell_length_a 7.388
_cell_length_b 7.388
_cell_length_c 7.388
_cell_angle_alpha 90.00
_cell_angle_beta 90.00
_cell_angle_gamma 90.00
loop_
_atom_site_label
_atom_site_fract_x
_atom_site_fract_y
_atom_site_fract_z
_atom_site_occupancy
Sr1 0.250 0.250 0.250 1
Zn1 0.000 0.000 0.000 1
B1 0.000 0.000 0.500 1
# * M_tot: 0.00 μB per cell
# * energy of formation from the pure elements: 410 meV per atom
# * calculated volume: 25.20 Å³ per atom
# * Fermi-level density of states: 18.8 states/eV per cell
# * mass density: 4.1 g/cm³

=====

12.
# Na2PaTlI8 | the Alexandria database | PBE | optimized geometry
data_Na2PaTlI8
_space_group_name_H-M_alt 'P -1'
_space_group_IT_number 2
_cell_length_a 7.867
_cell_length_b 7.918
_cell_length_c 10.105
_cell_angle_alpha 90.87
_cell_angle_beta 109.04
_cell_angle_gamma 101.42
loop_
_space_group_symop_operation_xyz
'x,y,z'
'-x,-y,-z'
loop_
_atom_site_label
_atom_site_fract_x
_atom_site_fract_y
_atom_site_fract_z
_atom_site_occupancy
Na1 0.193 0.476 0.176 1
Pa1 0.500 0.000 0.500 1
Tl1 0.500 0.000 0.000 1
I1 0.226 0.597 0.903 1
I2 0.237 0.071 0.228 1
I3 0.262 0.657 0.483 1
I4 0.301 0.147 0.658 1
# * M_tot: 0.00 μB per cell
# * calculated volume: 48.43 Å³ per atom
# * mass density: 4.3 g/cm³
# * total DFT energy (no corrections): -38.35 eV/cell